This record from Alexandria describes a relaxed CePm2Ag crystal. The functional is PBE-GGA.

Unit cell a=3.5556 b=3.5556 c=11.0163 alpha=80.71 beta=80.71 gamma=60.00
Last column: nearest neighbours and their distance in Å.
Element x y z (fractional)
Ag (0.6669, 0.6669, 0.9992)  6 Pm 3.19-3.20, 6 Ag 3.56
Pm (0.2581, 0.2581, 0.2258)  3 Ag 3.20, 6 Pm 3.56
Pm (0.0755, 0.0755, 0.7735)  3 Ag 3.19, 6 Pm 3.56
Ce (0.4995, 0.4995, 0.5015)  6 Ce 3.56, 6 Pm 3.59-3.62

The space group is R3m. The total DFT energy (no corrections) comes out at -4.513 eV/atom. The calculation puts the calculated volume at 29.624 A^3/atom. As for the calculated formation energy: 59 meV/atom. The calculation puts the energy relative to the lowest polymorph listed for this composition at 135 meV per atom.


This record from Alexandria describes a relaxed NdNi6Sn4 crystal. The functional is PBE-GGA.

Unit cell a=4.1388 b=7.2311 c=7.2311 alpha=120.00 beta=90.00 gamma=90.00
Last column: nearest neighbours and their distance in Å.
Element x y z (fractional)
Ni (0.5000, 0.2106, 0.7894)  4 Sn 2.52-2.58, 2 Ni 2.66
Ni (0.0000, 0.5421, 0.0842)  5 Sn 2.61-2.67, 2 Ni 2.70
Ni (0.0000, 0.5421, 0.4579)  5 Sn 2.61-2.67, 2 Ni 2.70
Ni (0.5000, 0.2106, 0.4213)  4 Sn 2.52-2.58, 2 Ni 2.66
Ni (0.0000, 0.9158, 0.4579)  5 Sn 2.61-2.67, 2 Ni 2.70
Ni (0.5000, 0.5787, 0.7894)  4 Sn 2.52-2.58, 2 Ni 2.66
Sn (0.5000, 0.8089, 0.1911)  6 Ni 2.52-2.67
Sn (0.0000, 0.3333, 0.6667)  9 Ni 2.58-2.61
Sn (0.5000, 0.8089, 0.6178)  6 Ni 2.52-2.67
Sn (0.5000, 0.3822, 0.1911)  6 Ni 2.52-2.67
Nd (0.0000, 0.0000, 0.0000)  6 Sn 3.16, 6 Ni 3.35

The space group is P-6m2. The total DFT energy (no corrections) comes out at -5.314 eV/atom. The calculation puts the calculated volume at 17.038 A^3/atom. As for the calculated formation energy: -272 meV/atom.


| no. | M_tot (μB per cell) |
| --- | --- |
| 1 | 1.107 |
| 2 | 0.000 |